(1)
# FeIrAu3, optimized geometry, DFT GGA-PBE
# Raw total energy = -3.8030 eV/atom
# V = 19.94 Å³ per atom
# Energy of formation from the pure elements = 8.14 eV per formula unit
# Size of the total moment = 0.000 μB per formula unit
data_FeIrAu3
_space_group_name_H-M_alt 'P 1'
_space_group_IT_number 1
_cell_length_a 4.637
_cell_length_b 4.637
_cell_length_c 4.637
_cell_angle_alpha 90.00
_cell_angle_beta 90.00
_cell_angle_gamma 90.00
loop_
_space_group_symop_operation_xyz
'x,y,z'
loop_
_atom_site_label
_atom_site_type_symbol
_atom_site_fract_x
_atom_site_fract_y
_atom_site_fract_z
Fe1 Fe 0.000 0.000 0.000
Ir1 Ir 0.500 0.500 0.500
Au1 Au 0.000 0.000 0.500
Au2 Au 0.000 0.500 0.000
Au3 Au 0.500 0.000 0.000

(2)
# FeIrAu, optimized geometry, DFT GGA-PBE
# Raw total energy = -6.6678 eV/atom
# V = 15.09 Å³ per atom
# Energy of formation from the pure elements = 0.60 eV per formula unit
# Size of the total moment = 3.312 μB per formula unit
data_FeIrAu
_space_group_name_H-M_alt 'P 1'
_space_group_IT_number 1
_cell_length_a 4.821
_cell_length_b 2.797
_cell_length_c 6.718
_cell_angle_alpha 90.00
_cell_angle_beta 90.00
_cell_angle_gamma 90.00
loop_
_space_group_symop_operation_xyz
'x,y,z'
loop_
_atom_site_label
_atom_site_type_symbol
_atom_site_fract_x
_atom_site_fract_y
_atom_site_fract_z
Fe1 Fe 0.000 0.000 0.000
Fe2 Fe 0.170 0.500 0.316
Ir1 Ir 0.326 0.000 0.665
Ir2 Ir 0.463 0.500 0.988
Au1 Au 0.666 0.000 0.313
Au2 Au 0.834 0.500 0.665